LiSm3Tl3 | GGA-PBE | optimized geometry

The space group is C2/m (No. 12) and the conventional cell measures 11.584, 4.684 and 15.423 Å, with angles of 90.00, 109.40 and 90.00 degrees. The inequivalent atoms are Li at (0.241, 0.000, 0.401), Sm at (0.036, 0.500, 0.385), Sm at (0.094, 0.500, 0.918), Sm at (0.239, 0.500, 0.223), Tl at (0.029, 0.000, 0.238), Tl at (0.127, 0.000, 0.073) and Tl at (0.137, 0.000, 0.555).

The energy of formation is -304 meV per atom. Its relative energy among the computed polymorphs is 0 meV per atom. The mass density is 9.01 g cm⁻³. As for the size of the total moment: 0.0 μB per cell.